# Sr2ZnGaFe PBE optimized geometry
data_Sr2ZnGaFe
_cell_length_a 5.481
_cell_length_b 5.481
_cell_length_c 4.547
_cell_angle_alpha 90.00
_cell_angle_beta 90.00
_cell_angle_gamma 90.00
_space_group_name_H-M_alt 'P 4/m m m'
_space_group_IT_number 123
_space_group_name_Hall '-P 4 2'
loop_
_atom_site_label
_atom_site_fract_x
_atom_site_fract_y
_atom_site_fract_z
Sr1 0.000 0.500 0.000
Zn1 0.000 0.000 0.500
Ga1 0.500 0.500 0.500
Fe1 0.500 0.500 0.000
# N(E_F): 1.59 states/eV per atom
# total magnetization: 0.02 μB per formula unit
# E_form: 269.1 meV/atom

---

# TbHoHg5 PBE optimized geometry
data_TbHoHg5
_cell_length_a 4.594
_cell_length_b 4.594
_cell_length_c 8.716
_cell_angle_alpha 90.00
_cell_angle_beta 90.00
_cell_angle_gamma 90.00
_space_group_name_H-M_alt 'P 4/m m m'
_space_group_IT_number 123
_space_group_name_Hall '-P 4 2'
loop_
_atom_site_label
_atom_site_fract_x
_atom_site_fract_y
_atom_site_fract_z
Tb1 0.000 0.000 0.000
Ho1 0.500 0.500 0.500
Hg1 0.000 0.000 0.500
Hg2 0.000 0.500 0.239
# N(E_F): 0.43 states/eV per atom
# total magnetization: 0.00 μB per formula unit
# E_form: -259.9 meV/atom